Record 1
# AlTeIr2 | Alexandria via LeMat-Bulk | PBE | relaxed
data_AlTeIr2
_cell_length_a 4.739
_cell_length_b 4.739
_cell_length_c 4.739
_cell_angle_alpha 127.12
_cell_angle_beta 127.12
_cell_angle_gamma 78.06
_space_group_name_H-M_alt 'P 1'
_space_group_IT_number 1
loop_
_space_group_symop_operation_xyz
'x,y,z'
loop_
_atom_site_label
_atom_site_type_symbol
_atom_site_fract_x
_atom_site_fract_y
_atom_site_fract_z
Ir1 Ir 0.000 0.000 0.000
Ir2 Ir 0.500 0.500 0.000
Te1 Te 0.250 0.750 0.500
Al1 Al 0.750 0.250 0.500
# * formation energy without anion corrections: 0.05 eV per atom
# * distance to the lowest polymorph of the same formula: 192 meV per atom
# * volume: 65.6 Å³ per cell
# * magnetization: 0.00 μB/f.u.
# * D(E_F): 2.6 states/eV/f.u.

---

Record 2
# AlTe4Ir | Alexandria via LeMat-Bulk | PBE | relaxed
data_AlTe4Ir
_cell_length_a 6.157
_cell_length_b 6.157
_cell_length_c 6.157
_cell_angle_alpha 60.00
_cell_angle_beta 60.00
_cell_angle_gamma 60.00
_space_group_name_H-M_alt 'P 1'
_space_group_IT_number 1
loop_
_space_group_symop_operation_xyz
'x,y,z'
loop_
_atom_site_label
_atom_site_type_symbol
_atom_site_fract_x
_atom_site_fract_y
_atom_site_fract_z
Al1 Al 0.750 0.750 0.750
Te1 Te 0.880 0.373 0.373
Te2 Te 0.373 0.373 0.880
Te3 Te 0.373 0.880 0.373
Te4 Te 0.373 0.373 0.373
Ir1 Ir 0.000 0.000 0.000
# * formation energy without anion corrections: 1.14 eV per atom
# * volume: 165.0 Å³ per cell
# * magnetization: 0.29 μB/f.u.
# * D(E_F): 7.7 states/eV/f.u.

---

Record 3
# AlTeIr2 | Alexandria via LeMat-Bulk | PBE | relaxed
data_AlTeIr2
_cell_length_a 3.590
_cell_length_b 3.590
_cell_length_c 5.314
_cell_angle_alpha 90.00
_cell_angle_beta 90.00
_cell_angle_gamma 90.00
_space_group_name_H-M_alt 'P 1'
_space_group_IT_number 1
loop_
_space_group_symop_operation_xyz
'x,y,z'
loop_
_atom_site_label
_atom_site_type_symbol
_atom_site_fract_x
_atom_site_fract_y
_atom_site_fract_z
Ir1 Ir 0.000 0.000 0.946
Ir2 Ir 0.500 0.500 0.296
Te1 Te 0.000 0.000 0.452
Al1 Al 0.500 0.500 0.806
# * formation energy without anion corrections: -0.08 eV per atom
# * distance to the lowest polymorph of the same formula: 56 meV per atom
# * volume: 68.5 Å³ per cell
# * magnetization: 0.00 μB/f.u.
# * D(E_F): 2.5 states/eV/f.u.